First-principles (PBE-GGA) data for a relaxed structure of CdInGaTe4, as listed in OQMD via LeMat-Bulk.

DFT total energy ... -3.13 eV/atom

a = 6.276 Å, b = 6.276 Å, c = 12.384 Å
α = 90.00°, β = 90.00°, γ = 90.00°
Space group I-4 (No. 82)
One atom of each set of equivalent atoms:
Cd: 0.000 0.000 0.000
In: 0.000 0.500 0.250
Ga: 0.000 0.000 0.500
Te: 0.209 0.262 0.633